Entry from Alexandria: Y4NiIr after structural relaxation (PBE).

## Properties
**Fermi-level density of states**: 25.3 states/eV/cell
**E_form**: -0.4128 eV/atom
**ΔE to the lowest computed polymorph**: 0.0000 eV/atom
**Crystal system**: monoclinic

Lattice parameters (Å, degrees): 9.032 13.750 6.768 90.00 131.05 90.00
Space group C2/c (No. 15)
One atom of each set of equivalent atoms:
Y  0.175  0.228  0.169 x8
Y  0.247  0.480  0.236 x8
Ni  0.000  0.102  0.250 x4
Ir  0.000  0.371  0.750 x4

Entry from Alexandria: SiCO2 after structural relaxation (PBE).

## Properties
**Fermi-level density of states**: 1.3 states/eV/cell
**Formation energy from raw total energies**: -0.310 eV/atom
**ΔE to the lowest computed polymorph**: 0.0000 eV/atom
**Crystal system**: trigonal

Lattice parameters (Å, degrees): 2.6138 2.6138 27.0655 90.00 90.00 120.00
Space group R-3m (No. 166, hexagonal axes)
One atom of each set of equivalent atoms:
Si  0.0000  0.0000  0.0000 x3
C  0.0000  0.0000  0.5000 x3
O  0.0000  0.0000  0.3680 x6

Entry from Alexandria: Na2HgC after structural relaxation (PBE).

## Properties
**Fermi-level density of states**: 6.0 states/eV/cell
**E_form**: 1.0682 eV/atom
**ΔE to the lowest computed polymorph**: 0.3774 eV/atom
**Crystal system**: cubic

Lattice parameters (Å, degrees): 6.953 6.953 6.953 90.00 90.00 90.00
Space group Fm-3m (No. 225)
One atom of each set of equivalent atoms:
Na  0.250  0.250  0.250 x8
Hg  0.000  0.000  0.000 x4
C  0.000  0.000  0.500 x4

Entry from Alexandria: Pr8Si3Te4As after structural relaxation (PBE).

## Properties
**Fermi-level density of states**: 11.0 states/eV/cell
**Formation energy from raw total energies**: -1.234 eV/atom
**Crystal system**: trigonal

Lattice parameters (Å, degrees): 8.7854 8.7854 22.1679 90.00 90.00 120.00
Space group R-3m (No. 166, hexagonal axes)
One atom of each set of equivalent atoms:
Pr  0.0000  0.0000  0.2416 x6
Pr  0.0028  0.5014  0.7591 x18
Si  0.0000  0.5000  0.5000 x9
Te  0.0000  0.0000  0.0000 x3
Te  0.0000  0.5000  0.0000 x9
As  0.0000  0.0000  0.5000 x3

Entry from Alexandria: Ce6HgRu2 after structural relaxation (PBE).

## Properties
**Fermi-level density of states**: 35.8 states/eV/cell
**E_form**: -0.3091 eV/atom
**Crystal system**: monoclinic

Lattice parameters (Å, degrees): 10.330 4.881 8.776 90.00 96.21 90.00
Space group C2/m (No. 12)
One atom of each set of equivalent atoms:
Ce  0.054  0.000  0.364 x4
Ce  0.106  0.500  0.673 x4
Ce  0.201  0.500  0.103 x4
Hg  0.000  0.000  0.000 x2
Ru  0.231  0.500  0.379 x4

Entry from Alexandria: La3DyY7 after structural relaxation (PBE).

## Properties
**Fermi-level density of states**: 18.7 states/eV/cell
**E_form**: 0.1739 eV/atom
**ΔE to the lowest computed polymorph**: 0.0541 eV/atom
**Crystal system**: trigonal

Lattice parameters (Å, degrees): 7.1528 7.1528 8.7995 90.00 90.00 120.00
Space group P3m1 (No. 156)
One atom of each set of equivalent atoms:
La  0.1671  0.3343  0.0000 x3
Dy  0.3333  0.6667  0.3386 x1
Y  0.0000  0.0000  0.6603 x1
Y  0.0017  0.5008  0.6600 x3
Y  0.3323  0.1661  0.3381 x3

Entry from Alexandria: Li2ZrCo after structural relaxation (PBE).

## Properties
**Fermi-level density of states**: 3.0 states/eV/cell
**E_form**: 0.1420 eV/atom
**ΔE to the lowest computed polymorph**: 0.0829 eV/atom
**Crystal system**: monoclinic

Lattice parameters (Å, degrees): 3.015 4.984 4.246 90.00 94.20 90.00
Space group P2/m (No. 10)
One atom of each set of equivalent atoms:
Li  0.205  0.000  0.279 x2
Zr  0.500  0.500  0.000 x1
Co  0.000  0.500  0.500 x1

Entry from Alexandria: NaCu5Cl12 after structural relaxation (PBE).

## Properties
**Fermi-level density of states**: 6.0 states/eV/cell
**Formation energy from raw total energies**: -0.568 eV/atom
**Crystal system**: triclinic

Lattice parameters (Å, degrees): 5.830 6.626 12.741 82.67 79.76 68.27
Space group P-1 (No. 2)
One atom of each set of equivalent atoms:
Na  0.000  0.000  0.000 x1
Cu  0.000  0.000  0.500 x1
Cu  0.320  0.364  0.993 x2
Cu  0.333  0.333  0.500 x2
Cl  0.009  0.420  0.894 x2
Cl  0.024  0.243  0.610 x2
Cl  0.309  0.090  0.390 x2
Cl  0.357  0.578  0.609 x2
Cl  0.400  0.858  0.121 x2
Cl  0.425  0.705  0.887 x2

Entry from Alexandria: Nb2Bi2F after structural relaxation (PBE).

## Properties
**Fermi-level density of states**: 9.5 states/eV/cell
**Formation energy from raw total energies**: 0.454 eV/atom
**ΔE to the lowest computed polymorph**: 0.5913 eV/atom
**Crystal system**: tetragonal

Lattice parameters (Å, degrees): 4.779 4.779 11.483 90.00 90.00 90.00
Space group I4/mmm (No. 139)
One atom of each set of equivalent atoms:
Nb  0.000  0.000  0.103 x4
Bi  0.000  0.500  0.250 x4
F  0.000  0.000  0.500 x2

Entry from Alexandria: YTi3Os after structural relaxation (PBE).

## Properties
**Fermi-level density of states**: 9.8 states/eV/cell
**E_form**: 0.2002 eV/atom
**ΔE to the lowest computed polymorph**: 0.0000 eV/atom
**Crystal system**: cubic

Lattice parameters (Å, degrees): 4.812 4.812 4.812 90.00 90.00 90.00
Space group Pm-3m (No. 221)
One atom of each set of equivalent atoms:
Y  0.000  0.000  0.000 x1
Ti  0.000  0.500  0.500 x3
Os  0.500  0.500  0.500 x1

Entry from Alexandria: In2SeBr after structural relaxation (PBE).

## Properties
**Fermi-level density of states**: 1.4 states/eV/cell
**Formation energy from raw total energies**: -0.364 eV/atom
**ΔE to the lowest computed polymorph**: 0.1122 eV/atom
**Crystal system**: monoclinic

Lattice parameters (Å, degrees): 3.906 3.854 7.975 90.00 98.82 90.00
Space group P2/m (No. 10)
One atom of each set of equivalent atoms:
In  0.034  0.000  0.203 x2
Se  0.500  0.500  0.000 x1
Br  0.000  0.500  0.500 x1

Entry from Alexandria: Th2TeC after structural relaxation (PBE).

## Properties
**Fermi-level density of states**: 2.1 states/eV/cell
**Formation energy from raw total energies**: -0.829 eV/atom
**Crystal system**: trigonal

Lattice parameters (Å, degrees): 3.9358 3.9358 22.2587 90.00 90.00 120.00
Space group R-3m (No. 166, hexagonal axes)
One atom of each set of equivalent atoms:
Th  0.0000  0.0000  0.2281 x6
Te  0.0000  0.0000  0.0000 x3
C  0.0000  0.0000  0.5000 x3

Entry from Alexandria: Sm2BeAl after structural relaxation (PBE).

## Properties
**Fermi-level density of states**: 3.0 states/eV/cell
**E_form**: -0.1052 eV/atom
**ΔE to the lowest computed polymorph**: 0.0000 eV/atom
**Crystal system**: tetragonal

Lattice parameters (Å, degrees): 3.549 3.549 7.311 90.00 90.00 90.00
Space group P4/mmm (No. 123)
One atom of each set of equivalent atoms:
Sm  0.000  0.000  0.231 x2
Be  0.500  0.500  0.000 x1
Al  0.500  0.500  0.500 x1

Entry from Alexandria: K7Br3O2 after structural relaxation (PBE).

## Properties
**Formation energy from raw total energies**: -1.405 eV/atom
**ΔE to the lowest computed polymorph**: 0.0000 eV/atom
**Crystal system**: tetragonal

Lattice parameters (Å, degrees): 5.254 5.254 27.232 90.00 90.00 90.00
Space group I4/mmm (No. 139)
One atom of each set of equivalent atoms:
K  0.000  0.000  0.000 x2
K  0.000  0.000  0.192 x4
K  0.000  0.500  0.096 x8
Br  0.000  0.000  0.316 x4
Br  0.000  0.000  0.500 x2
O  0.000  0.000  0.098 x4

Number 1: magnetization 0.00 μB/f.u.. Number 2: magnetization 0.22 μB/f.u.. Number 3: magnetization 1.98 μB/f.u.. Number 4: magnetization 0.00 μB/f.u.. Number 5: magnetization 0.90 μB/f.u.. Number 6: magnetization 0.00 μB/f.u.. Number 7: magnetization 0.00 μB/f.u.. Number 8: magnetization 4.02 μB/f.u.. Number 9: magnetization 0.42 μB/f.u.. Number 10: magnetization 0.00 μB/f.u.. Number 11: magnetization 0.00 μB/f.u.. Number 12: magnetization 0.00 μB/f.u.. Number 13: magnetization 0.00 μB/f.u.. Number 14: magnetization 0.00 μB/f.u..